No. 1
# HPbO, relaxed, DFT PBE
# Offset from the most stable computed form in meV per atom: 38
data_HPbO
_cell_length_a 6.832
_cell_length_b 5.324
_cell_length_c 6.323
_cell_angle_alpha 90.00
_cell_angle_beta 115.91
_cell_angle_gamma 90.00
_symmetry_space_group_name_H-M 'C 1 c 1'
_symmetry_Int_Tables_number 9
_symmetry_space_group_name_Hall 'C -2yc'
loop_
_atom_site_label
_atom_site_type_symbol
_atom_site_fract_x
_atom_site_fract_y
_atom_site_fract_z
H1 H 0.000 0.231 0.000
Pb1 Pb 0.196 0.267 0.703
O1 O 0.009 0.393 0.930


No. 2
# Ta2As, relaxed, DFT PBE
# Formation enthalpy at 0 K in eV per atom: -0.2765
data_Ta2As
_cell_length_a 7.2175
_cell_length_b 7.2175
_cell_length_c 3.3883
_cell_angle_alpha 90.00
_cell_angle_beta 90.00
_cell_angle_gamma 120.00
_symmetry_space_group_name_H-M 'P -6 2 m'
_symmetry_Int_Tables_number 189
_symmetry_space_group_name_Hall 'P -6 -2'
loop_
_atom_site_label
_atom_site_type_symbol
_atom_site_fract_x
_atom_site_fract_y
_atom_site_fract_z
Ta1 Ta 0.0000 0.2632 0.0000
Ta2 Ta 0.0000 0.6036 0.5000
As1 As 0.0000 0.0000 0.5000
As2 As 0.3333 0.6667 0.0000


No. 3
# MgAl2W, relaxed, DFT PBE
# Formation enthalpy at 0 K in eV per atom: 0.6725
data_MgAl2W
_cell_length_a 7.178
_cell_length_b 7.178
_cell_length_c 5.588
_cell_angle_alpha 90.00
_cell_angle_beta 90.00
_cell_angle_gamma 90.00
_symmetry_space_group_name_H-M 'I -4 2 d'
_symmetry_Int_Tables_number 122
_symmetry_space_group_name_Hall 'I -4 2bw'
loop_
_atom_site_label
_atom_site_type_symbol
_atom_site_fract_x
_atom_site_fract_y
_atom_site_fract_z
Mg1 Mg 0.000 0.000 0.000
Al1 Al 0.242 0.250 0.625
W1 W 0.000 0.000 0.500


No. 4
# Mg3P2Pd3Rh4, relaxed, DFT PBE
# Formation enthalpy at 0 K in eV per atom: -0.3528
data_Mg3P2Pd3Rh4
_cell_length_a 4.110
_cell_length_b 24.227
_cell_length_c 4.022
_cell_angle_alpha 90.00
_cell_angle_beta 90.00
_cell_angle_gamma 90.00
_symmetry_space_group_name_H-M 'I m m 2'
_symmetry_Int_Tables_number 44
_symmetry_space_group_name_Hall 'I 2 -2'
loop_
_atom_site_label
_atom_site_type_symbol
_atom_site_fract_x
_atom_site_fract_y
_atom_site_fract_z
Mg1 Mg 0.000 0.000 0.000
Mg2 Mg 0.000 0.196 0.695
P1 P 0.000 0.425 0.691
Pd1 Pd 0.000 0.118 0.192
Pd2 Pd 0.000 0.500 0.038
Rh1 Rh 0.000 0.303 0.696
Rh2 Rh 0.000 0.386 0.195


In order of appearance, total energy = -56.4 -87.6 -77.4 -129.6 eV for the cell shown.
In order of appearance, volume = 51.7 51.0 72.0 200.3 Å³/f.u..